VASP calculation (PBE) on an optimized crystal structure of DyY2Tm2Lu2Co2Te2.

Density, g/cm3: 8.38
Symmetry: Imm2
Calculated total energy, Ry per atom: -0.4202

Geometry as CIF:
```
data_DyY2Tm2Lu2Co2Te2
_chemical_formula_sum 'Dy1 Y2 Tm2 Lu2 Co2 Te2'
_symmetry_space_group_name_H-M 'P 1'
_symmetry_Int_Tables_number 1
_symmetry_space_group_name_Hall 'P 1'
_cell_length_a 9.252
_cell_length_b 9.252
_cell_length_c 9.252
_cell_angle_alpha 156.11
_cell_angle_beta 66.18
_cell_angle_gamma 119.31
loop_
_atom_site_label
_atom_site_type_symbol
_atom_site_fract_x
_atom_site_fract_y
_atom_site_fract_z
Te1 Te 0.743 0.243 0.500
Te2 Te 0.137 0.137 0.000
Lu1 Lu 0.785 0.100 0.685
Lu2 Lu 0.415 0.100 0.315
Y1 Y 0.093 0.743 0.351
Y2 Y 0.392 0.743 0.649
Tm1 Tm 0.758 0.893 0.865
Tm2 Tm 0.028 0.893 0.135
Dy1 Dy 0.476 0.476 0.000
Co1 Co 0.170 0.410 0.760
Co2 Co 0.649 0.410 0.240
```

***

VASP calculation (PBE) on an optimized crystal structure of DyHoHg2.

Density, g/cm3: 11.75
ΔE_f, meV/atom: -281
Symmetry: Ama2

Geometry as CIF:
```
data_DyHoHg2
_chemical_formula_sum 'Dy2 Ho2 Hg4'
_symmetry_space_group_name_H-M 'P 1'
_symmetry_Int_Tables_number 1
_symmetry_space_group_name_Hall 'P 1'
_cell_length_a 5.402
_cell_length_b 6.802
_cell_length_c 6.802
_cell_angle_alpha 124.48
_cell_angle_beta 90.00
_cell_angle_gamma 90.00
loop_
_atom_site_label
_atom_site_type_symbol
_atom_site_fract_x
_atom_site_fract_y
_atom_site_fract_z
Dy1 Dy 0.750 0.864 0.707
Dy2 Dy 0.250 0.707 0.864
Ho1 Ho 0.750 0.305 0.625
Ho2 Ho 0.250 0.625 0.305
Hg1 Hg 0.750 0.798 0.154
Hg2 Hg 0.750 0.354 0.193
Hg3 Hg 0.250 0.193 0.354
Hg4 Hg 0.250 0.154 0.798
```

***

VASP calculation (PBE) on an optimized crystal structure of SiIrNO.

Density, g/cm3: 9.09
Polymorph energy (0 for the lowest one), kJ per mole of atoms: 40.3
Symmetry: Pmc2_1

Geometry as CIF:
```
data_SiIrNO
_chemical_formula_sum 'Si2 Ir2 N2 O2'
_symmetry_space_group_name_H-M 'P 1'
_symmetry_Int_Tables_number 1
_symmetry_space_group_name_Hall 'P 1'
_cell_length_a 2.762
_cell_length_b 6.266
_cell_length_c 5.287
_cell_angle_alpha 90.00
_cell_angle_beta 90.00
_cell_angle_gamma 90.00
loop_
_atom_site_label
_atom_site_type_symbol
_atom_site_fract_x
_atom_site_fract_y
_atom_site_fract_z
N1 N 0.000 0.805 0.395
N2 N 0.000 0.305 0.605
Ir1 Ir 0.500 0.944 0.172
Ir2 Ir 0.500 0.444 0.828
O1 O 0.500 0.479 0.224
O2 O 0.500 0.979 0.776
Si1 Si 0.000 0.026 0.588
Si2 Si 0.000 0.526 0.412
```

***

VASP calculation (PBE) on an optimized crystal structure of IrCl4.

Density, g/cm3: 4.86
Symmetry: I4/mmm
Calculated total energy, Ry per atom: -0.2457

Geometry as CIF:
```
data_IrCl4
_chemical_formula_sum 'Ir1 Cl4'
_symmetry_space_group_name_H-M 'P 1'
_symmetry_Int_Tables_number 1
_symmetry_space_group_name_Hall 'P 1'
_cell_length_a 5.962
_cell_length_b 5.962
_cell_length_c 5.962
_cell_angle_alpha 132.16
_cell_angle_beta 132.16
_cell_angle_gamma 69.98
loop_
_atom_site_label
_atom_site_type_symbol
_atom_site_fract_x
_atom_site_fract_y
_atom_site_fract_z
Cl1 Cl 0.232 0.232 0.000
Cl2 Cl 0.500 0.000 0.500
Cl3 Cl 0.768 0.768 0.000
Cl4 Cl 0.000 0.500 0.500
Ir1 Ir 0.000 0.000 0.000
```

***

VASP calculation (PBE) on an optimized crystal structure of Tc2PdS4Br2.

Density, g/cm3: 4.20
Symmetry: P-1
Calculated total energy, Ry per atom: -0.3653

Geometry as CIF:
```
data_Tc2PdS4Br2
_chemical_formula_sum 'Tc2 Pd1 S4 Br2'
_symmetry_space_group_name_H-M 'P 1'
_symmetry_Int_Tables_number 1
_symmetry_space_group_name_Hall 'P 1'
_cell_length_a 3.864
_cell_length_b 8.268
_cell_length_c 8.467
_cell_angle_alpha 61.15
_cell_angle_beta 86.57
_cell_angle_gamma 80.18
loop_
_atom_site_label
_atom_site_type_symbol
_atom_site_fract_x
_atom_site_fract_y
_atom_site_fract_z
S1 S 0.632 0.760 0.732
S2 S 0.510 0.243 0.499
S3 S 0.490 0.757 0.501
S4 S 0.368 0.240 0.268
Tc1 Tc 0.465 0.995 0.230
Tc2 Tc 0.535 0.005 0.770
Br1 Br 0.287 0.278 0.869
Br2 Br 0.713 0.722 0.131
Pd1 Pd 0.000 0.000 0.000
```

***

VASP calculation (PBE) on an optimized crystal structure of PaNbPO.

Density, g/cm3: 8.02
Polymorph energy (0 for the lowest one), kJ per mole of atoms: 44.3
Symmetry: Pmc2_1

Geometry as CIF:
```
data_PaNbPO
_chemical_formula_sum 'Pa2 Nb2 P2 O2'
_symmetry_space_group_name_H-M 'P 1'
_symmetry_Int_Tables_number 1
_symmetry_space_group_name_Hall 'P 1'
_cell_length_a 4.593
_cell_length_b 5.916
_cell_length_c 5.650
_cell_angle_alpha 90.00
_cell_angle_beta 90.00
_cell_angle_gamma 90.00
loop_
_atom_site_label
_atom_site_type_symbol
_atom_site_fract_x
_atom_site_fract_y
_atom_site_fract_z
O1 O 0.500 0.782 0.364
O2 O 0.500 0.218 0.864
P1 P 0.000 0.257 0.446
P2 P 0.000 0.743 0.946
Pa1 Pa 0.000 0.747 0.447
Pa2 Pa 0.000 0.253 0.947
Nb1 Nb 0.500 0.879 0.997
Nb2 Nb 0.500 0.121 0.497
```

***

VASP calculation (PBE) on an optimized crystal structure of KPrP4O12.

Density, g/cm3: 3.41
Polymorph energy (0 for the lowest one), kJ per mole of atoms: 0.0
Symmetry: P2_1

Geometry as CIF:
```
data_KPrP4O12
_chemical_formula_sum 'K2 Pr2 P8 O24'
_symmetry_space_group_name_H-M 'P 1'
_symmetry_Int_Tables_number 1
_symmetry_space_group_name_Hall 'P 1'
_cell_length_a 7.227
_cell_length_b 8.375
_cell_length_c 7.988
_cell_angle_alpha 90.00
_cell_angle_beta 92.22
_cell_angle_gamma 90.00
loop_
_atom_site_label
_atom_site_type_symbol
_atom_site_fract_x
_atom_site_fract_y
_atom_site_fract_z
K1 K 0.223 0.820 0.276
K2 K 0.777 0.320 0.724
O1 O 0.046 0.237 0.284
O2 O 0.576 0.878 0.179
O3 O 0.179 0.581 0.869
O4 O 0.531 0.656 0.477
O5 O 0.924 0.711 0.029
O6 O 0.954 0.737 0.716
O7 O 0.681 0.361 0.392
O8 O 0.492 0.169 0.206
O9 O 0.319 0.861 0.608
O10 O 0.662 0.886 0.652
O11 O 0.452 0.567 0.078
O12 O 0.424 0.378 0.821
O13 O 0.548 0.067 0.922
O14 O 0.958 0.035 0.652
O15 O 0.885 0.827 0.421
O16 O 0.076 0.211 0.971
O17 O 0.184 0.882 0.927
O18 O 0.042 0.535 0.348
O19 O 0.469 0.156 0.523
O20 O 0.821 0.081 0.131
O21 O 0.816 0.382 0.073
O22 O 0.115 0.327 0.579
O23 O 0.508 0.669 0.794
O24 O 0.338 0.386 0.348
P1 P 0.940 0.240 0.104
P2 P 0.874 0.880 0.599
P3 P 0.395 0.538 0.898
P4 P 0.060 0.740 0.896
P5 P 0.605 0.038 0.102
P6 P 0.506 0.265 0.380
P7 P 0.126 0.380 0.401
P8 P 0.494 0.765 0.620
Pr1 Pr 0.268 0.118 0.756
Pr2 Pr 0.732 0.618 0.244
```

***

VASP calculation (PBE) on an optimized crystal structure of Pr6Cd23Sn.

Density, g/cm3: 8.19
Symmetry: Fm-3m
Calculated total energy, Ry per atom: -0.1541

Geometry as CIF:
```
data_Pr6Cd23Sn
_chemical_formula_sum 'Pr6 Cd23 Sn1'
_symmetry_space_group_name_H-M 'P 1'
_symmetry_Int_Tables_number 1
_symmetry_space_group_name_Hall 'P 1'
_cell_length_a 10.058
_cell_length_b 10.058
_cell_length_c 10.058
_cell_angle_alpha 60.00
_cell_angle_beta 60.00
_cell_angle_gamma 60.00
loop_
_atom_site_label
_atom_site_type_symbol
_atom_site_fract_x
_atom_site_fract_y
_atom_site_fract_z
Cd1 Cd 0.876 0.876 0.876
Cd2 Cd 0.985 0.338 0.338
Cd3 Cd 0.876 0.373 0.876
Cd4 Cd 0.000 0.500 0.500
Cd5 Cd 0.000 0.000 0.000
Cd6 Cd 0.124 0.124 0.627
Cd7 Cd 0.500 0.000 0.500
Cd8 Cd 0.876 0.876 0.373
Cd9 Cd 0.124 0.627 0.124
Cd10 Cd 0.662 0.015 0.662
Cd11 Cd 0.662 0.662 0.015
Cd12 Cd 0.500 0.000 0.000
Cd13 Cd 0.338 0.338 0.985
Cd14 Cd 0.338 0.338 0.338
Cd15 Cd 0.124 0.124 0.124
Cd16 Cd 0.500 0.500 0.000
Cd17 Cd 0.000 0.500 0.000
Cd18 Cd 0.627 0.124 0.124
Cd19 Cd 0.373 0.876 0.876
Cd20 Cd 0.338 0.985 0.338
Cd21 Cd 0.015 0.662 0.662
Cd22 Cd 0.662 0.662 0.662
Cd23 Cd 0.000 0.000 0.500
Pr1 Pr 0.279 0.721 0.279
Pr2 Pr 0.721 0.279 0.279
Pr3 Pr 0.279 0.279 0.721
Pr4 Pr 0.721 0.279 0.721
Pr5 Pr 0.279 0.721 0.721
Pr6 Pr 0.721 0.721 0.279
Sn1 Sn 0.500 0.500 0.500
```

***

VASP calculation (PBE) on an optimized crystal structure of Li2PmO3.

Density, g/cm3: 4.90
Symmetry: C2/m
Calculated total energy, Ry per atom: -0.4419

Geometry as CIF:
```
data_Li2PmO3
_chemical_formula_sum 'Li4 Pm2 O6'
_symmetry_space_group_name_H-M 'P 1'
_symmetry_Int_Tables_number 1
_symmetry_space_group_name_Hall 'P 1'
_cell_length_a 5.790
_cell_length_b 5.790
_cell_length_c 5.192
_cell_angle_alpha 99.02
_cell_angle_beta 99.02
_cell_angle_gamma 121.72
loop_
_atom_site_label
_atom_site_type_symbol
_atom_site_fract_x
_atom_site_fract_y
_atom_site_fract_z
O1 O 0.754 0.754 0.748
O2 O 0.114 0.427 0.743
O3 O 0.427 0.114 0.743
O4 O 0.573 0.886 0.257
O5 O 0.886 0.573 0.257
O6 O 0.246 0.246 0.252
Li1 Li 0.000 0.000 0.500
Li2 Li 0.500 0.500 0.000
Li3 Li 0.376 0.624 0.500
Li4 Li 0.624 0.376 0.500
Pm1 Pm 0.833 0.167 0.000
Pm2 Pm 0.167 0.833 0.000
```

***

VASP calculation (PBE) on an optimized crystal structure of SnHgSb2.

Density, g/cm3: 8.70
Symmetry: F-43m
Calculated total energy, Ry per atom: -0.2190

Geometry as CIF:
```
data_SnHgSb2
_chemical_formula_sum 'Sn1 Hg1 Sb2'
_symmetry_space_group_name_H-M 'P 1'
_symmetry_Int_Tables_number 1
_symmetry_space_group_name_Hall 'P 1'
_cell_length_a 5.337
_cell_length_b 5.337
_cell_length_c 5.337
_cell_angle_alpha 60.00
_cell_angle_beta 60.00
_cell_angle_gamma 60.00
loop_
_atom_site_label
_atom_site_type_symbol
_atom_site_fract_x
_atom_site_fract_y
_atom_site_fract_z
Sb1 Sb 0.000 0.000 0.000
Sb2 Sb 0.750 0.750 0.750
Sn1 Sn 0.500 0.500 0.500
Hg1 Hg 0.250 0.250 0.250
```

***

VASP calculation (PBE) on an optimized crystal structure of TmScCF2.

Density, g/cm3: 6.82
Symmetry: P3m1
Calculated total energy, Ry per atom: -0.5275

Geometry as CIF:
```
data_TmScCF2
_chemical_formula_sum 'Tm1 Sc1 C1 F2'
_symmetry_space_group_name_H-M 'P 1'
_symmetry_Int_Tables_number 1
_symmetry_space_group_name_Hall 'P 1'
_cell_length_a 3.444
_cell_length_b 3.444
_cell_length_c 6.259
_cell_angle_alpha 90.00
_cell_angle_beta 90.00
_cell_angle_gamma 120.00
loop_
_atom_site_label
_atom_site_type_symbol
_atom_site_fract_x
_atom_site_fract_y
_atom_site_fract_z
Sc1 Sc 0.667 0.333 0.796
C1 C 0.000 0.000 0.991
Tm1 Tm 0.333 0.667 0.205
F1 F 0.667 0.333 0.379
F2 F 0.333 0.667 0.629
```

***

VASP calculation (PBE) on an optimized crystal structure of HfCoGePt.

Density, g/cm3: 13.39
Polymorph energy (0 for the lowest one), kJ per mole of atoms: 10.6
Symmetry: F-43m

Geometry as CIF:
```
data_HfCoGePt
_chemical_formula_sum 'Hf1 Co1 Ge1 Pt1'
_symmetry_space_group_name_H-M 'P 1'
_symmetry_Int_Tables_number 1
_symmetry_space_group_name_Hall 'P 1'
_cell_length_a 4.457
_cell_length_b 4.457
_cell_length_c 4.457
_cell_angle_alpha 60.00
_cell_angle_beta 60.00
_cell_angle_gamma 60.00
loop_
_atom_site_label
_atom_site_type_symbol
_atom_site_fract_x
_atom_site_fract_y
_atom_site_fract_z
Ge1 Ge 0.000 0.000 0.000
Hf1 Hf 0.250 0.250 0.250
Pt1 Pt 0.500 0.500 0.500
Co1 Co 0.750 0.750 0.750
```